(1)
FeSiMo2 | Alexandria | PBE | optimized geometry; calculated density = 8.4 Mg/m³; final energy = -8.919 eV per atom; symmetry = P4/mmm
1.0
2.777 0.000 0.000
0.000 2.777 0.000
0.000 0.000 7.030
Mo Fe Si
2 1 1
Direct
0.000 0.000 0.995 Mo
0.000 0.000 0.505 Mo
0.500 0.500 0.750 Fe
0.500 0.500 0.250 Si

(2)
FeSiMo2 | Alexandria | PBE | optimized geometry; calculated density = 8.3 Mg/m³; final energy = -8.954 eV per atom; symmetry = P4mm
1.0
3.124 0.000 0.000
0.000 3.123 0.000
0.000 0.000 5.646
Mo Si Fe
2 1 1
Direct
0.500 0.500 0.262 Mo
0.000 0.000 0.988 Mo
0.000 0.000 0.513 Si
0.500 0.500 0.736 Fe

(3)
FeSiMo3 | Alexandria | PBE | optimized geometry; calculated density = 7.1 Mg/m³; final energy = -8.119 eV per atom; polymorph energy (0 for the lowest one) = 0.00 eV per formula unit; symmetry = Pm-3m
1.0
4.424 0.000 0.000
0.000 4.424 0.000
0.000 0.000 4.424
Mo Fe Si
3 1 1
Direct
0.500 0.000 0.000 Mo
0.000 0.500 0.000 Mo
0.000 0.000 0.500 Mo
0.000 0.000 0.000 Fe
0.500 0.500 0.500 Si

(4)
FeSiMo2 | Alexandria | PBE | optimized geometry; calculated density = 8.4 Mg/m³; final energy = -8.993 eV per atom; symmetry = I4/mmm
1.0
4.784 -0.068 0.000
1.987 4.353 0.000
-3.386 -2.142 2.616
Si Mo Fe
1 2 1
Direct
0.250 0.750 0.500 Si
0.500 0.500 0.000 Mo
0.000 0.000 0.000 Mo
0.750 0.250 0.500 Fe

(5)
FeSiMo2 | Alexandria | PBE | optimized geometry; calculated density = 8.5 Mg/m³; final energy = -8.992 eV per atom; symmetry = P4mm
1.0
-0.255 2.641 0.730
-1.600 0.451 -2.194
-5.731 -1.616 3.846
Mo Fe Si
2 1 1
Direct
0.500 0.500 0.279 Mo
0.000 0.000 0.967 Mo
0.500 0.500 0.717 Fe
0.000 0.000 0.538 Si

(6)
Fe3SiMo | Alexandria | PBE | optimized geometry; calculated density = 5.8 Mg/m³; final energy = -6.560 eV per atom; polymorph energy (0 for the lowest one) = 6.70 eV per formula unit; symmetry = Pm-3m
1.0
4.366 0.000 0.000
0.000 4.366 0.000
0.000 0.000 4.366
Fe Si Mo
3 1 1
Direct
0.000 0.500 0.000 Fe
0.000 0.000 0.500 Fe
0.500 0.000 0.000 Fe
0.500 0.500 0.500 Si
0.000 0.000 0.000 Mo

(7)
FeSi4Mo | Alexandria | PBE | optimized geometry; calculated density = 5.6 Mg/m³; final energy = -6.467 eV per atom; symmetry = F-43m
1.0
1.797 -3.771 2.366
-2.954 -3.295 1.862
-0.234 -4.385 -1.941
Si Mo Fe
4 1 1
Direct
0.375 0.375 0.876 Si
0.876 0.375 0.375 Si
0.375 0.876 0.375 Si
0.375 0.375 0.375 Si
0.000 0.000 0.000 Mo
0.750 0.750 0.750 Fe

(8)
FeSiMo2 | Alexandria | PBE | optimized geometry; calculated density = 8.2 Mg/m³; final energy = -8.937 eV per atom; symmetry = P4/mmm
1.0
4.348 0.000 0.000
0.000 4.348 0.000
0.000 0.000 2.940
Fe Si Mo
1 1 2
Direct
0.000 0.500 0.500 Fe
0.500 0.000 0.500 Si
0.500 0.500 0.000 Mo
0.000 0.000 0.000 Mo

(9)
FeSiMo2 | Alexandria | PBE | optimized geometry; calculated density = 8.4 Mg/m³; final energy = -8.963 eV per atom; symmetry = Pmmm
1.0
-2.923 -0.524 1.041
-0.630 -2.736 -3.146
1.390 -3.046 2.370
Mo Si Fe
2 1 1
Direct
0.000 0.000 0.000 Mo
0.500 0.500 0.000 Mo
0.500 0.000 0.500 Si
0.000 0.500 0.500 Fe

(10)
FeSiMo2 | Alexandria | PBE | optimized geometry; calculated density = 7.8 Mg/m³; final energy = -8.471 eV per atom; symmetry = I-42d
1.0
6.682 0.000 0.000
0.000 6.682 0.000
3.341 3.341 2.632
Mo Fe Si
4 2 2
Direct
0.642 0.125 0.250 Mo
0.108 0.625 0.250 Mo
0.875 0.892 0.750 Mo
0.375 0.358 0.750 Mo
0.000 0.000 0.000 Fe
0.750 0.250 0.500 Fe
0.250 0.750 0.500 Si
0.500 0.500 0.000 Si

(11)
FeSiMo2 | Alexandria | PBE | optimized geometry; calculated density = 8.3 Mg/m³; final energy = -9.030 eV per atom; symmetry = Imm2
1.0
4.896 -0.092 0.034
2.137 4.406 -0.034
-3.140 -2.772 2.538
Mo Fe Si
2 1 1
Direct
0.747 0.247 0.500 Mo
0.007 0.007 0.000 Mo
0.260 0.760 0.500 Fe
0.486 0.486 0.000 Si

(12)
FeSiMo2 | Alexandria | PBE | optimized geometry; calculated density = 8.4 Mg/m³; final energy = -8.941 eV per atom; symmetry = F-43m
1.0
-3.052 -1.206 2.703
0.943 -2.544 3.273
-0.054 1.531 3.966
Si Mo Fe
1 2 1
Direct
0.750 0.750 0.750 Si
0.250 0.250 0.250 Mo
0.000 0.000 0.000 Mo
0.500 0.500 0.500 Fe

(13)
FeSiMo2 | Alexandria | PBE | optimized geometry; calculated density = 8.1 Mg/m³; final energy = -8.743 eV per atom; symmetry = R-3m
1.0
-1.793 -1.378 8.342
0.815 -2.309 8.289
0.316 0.394 8.628
Mo Fe Si
2 1 1
Direct
0.499 0.499 0.499 Mo
0.001 0.001 0.001 Mo
0.750 0.750 0.750 Fe
0.250 0.250 0.250 Si

(14)
Fe6SiMo | Alexandria | PBE | optimized geometry; calculated density = 8.2 Mg/m³; final energy = -8.467 eV per atom; symmetry = Cmmm
1.0
6.371 -0.003 0.000
-3.679 5.201 0.000
0.000 0.000 11.286
Fe Mo Si
24 4 4
Direct
0.382 0.127 0.870 Fe
0.127 0.382 0.870 Fe
0.379 0.134 0.121 Fe
0.500 0.500 0.750 Fe
0.000 0.000 0.250 Fe
0.873 0.618 0.870 Fe
0.250 0.750 0.505 Fe
0.618 0.873 0.870 Fe
0.382 0.127 0.630 Fe
0.500 0.500 0.250 Fe
0.750 0.250 0.995 Fe
0.127 0.382 0.630 Fe
0.134 0.379 0.121 Fe
0.621 0.866 0.121 Fe
0.750 0.250 0.505 Fe
0.866 0.621 0.121 Fe
0.866 0.621 0.379 Fe
0.134 0.379 0.379 Fe
0.000 0.000 0.750 Fe
0.379 0.134 0.379 Fe
0.873 0.618 0.630 Fe
0.618 0.873 0.630 Fe
0.250 0.750 0.995 Fe
0.621 0.866 0.379 Fe
0.245 0.755 0.250 Mo
0.000 0.000 0.993 Mo
0.000 0.000 0.507 Mo
0.755 0.245 0.250 Mo
0.245 0.755 0.750 Si
0.500 0.500 0.510 Si
0.500 0.500 0.990 Si
0.755 0.245 0.750 Si

(15)
Fe3SiMo | Alexandria | PBE | optimized geometry; calculated density = 6.8 Mg/m³; final energy = -7.482 eV per atom; polymorph energy (0 for the lowest one) = 2.09 eV per formula unit; symmetry = Pm-3m
1.0
4.149 0.000 0.000
0.000 4.149 0.000
0.000 0.000 4.149
Fe Si Mo
3 1 1
Direct
0.000 0.000 0.500 Fe
0.500 0.000 0.000 Fe
0.000 0.500 0.000 Fe
0.000 0.000 0.000 Si
0.500 0.500 0.500 Mo

(16)
FeSi4Mo2 | Alexandria | PBE | optimized geometry; calculated density = 5.3 Mg/m³; final energy = -6.880 eV per atom; symmetry = I4/mmm
1.0
4.320 0.000 0.000
0.000 4.320 0.000
2.160 2.160 6.082
Si Mo Fe
4 2 1
Direct
0.814 0.814 0.372 Si
0.000 0.500 0.000 Si
0.500 0.000 0.000 Si
0.186 0.186 0.628 Si
0.389 0.389 0.223 Mo
0.611 0.611 0.777 Mo
0.000 0.000 0.000 Fe

(17)
SmFeSi2Mo | Alexandria | PBE | optimized geometry; calculated density = 6.9 Mg/m³; final energy = -7.475 eV per atom; symmetry = I-4m2
1.0
-0.273 -3.480 -1.937
2.370 1.418 -2.882
3.283 -0.792 5.074
Si Sm Fe Mo
2 1 1 1
Direct
0.616 0.616 0.232 Si
0.384 0.384 0.768 Si
0.000 0.000 0.000 Sm
0.250 0.750 0.500 Fe
0.750 0.250 0.500 Mo

(18)
TbFeSi2Mo | Alexandria | PBE | optimized geometry; calculated density = 7.2 Mg/m³; final energy = -7.477 eV per atom; symmetry = I-4m2
1.0
3.957 0.000 0.000
0.000 3.957 0.000
-1.978 -1.978 5.373
Tb Si Fe Mo
1 2 1 1
Direct
0.000 0.000 0.000 Tb
0.386 0.386 0.772 Si
0.614 0.614 0.228 Si
0.250 0.750 0.500 Fe
0.750 0.250 0.500 Mo

(19)
SmFeMo | Alexandria | PBE | optimized geometry; calculated density = 9.0 Mg/m³; energy of formation from the pure elements = 0.16 eV per atom; final energy = -7.847 eV per atom; symmetry = Amm2
1.0
5.551 -0.114 0.000
-2.789 4.801 0.000
0.000 0.000 8.479
Mo Fe Sm
4 4 4
Direct
0.828 0.665 0.500 Mo
0.335 0.172 0.500 Mo
0.000 0.000 0.246 Mo
0.000 0.000 0.754 Mo
0.830 0.170 0.500 Fe
0.166 0.326 0.000 Fe
0.674 0.834 0.000 Fe
0.165 0.835 0.000 Fe
0.333 0.667 0.301 Sm
0.668 0.332 0.819 Sm
0.668 0.332 0.181 Sm
0.333 0.667 0.699 Sm

(20)
SmFe11Mo | Alexandria | PBE | optimized geometry; calculated density = 8.4 Mg/m³; energy of formation from the pure elements = 0.01 eV per atom; final energy = -8.348 eV per atom; symmetry = Imm2
1.0
3.703 2.081 4.879
-4.304 4.828 0.143
0.130 -6.314 1.403
Fe Mo Sm
11 1 1
Direct
0.000 0.998 0.500 Fe
0.266 0.266 0.000 Fe
0.142 0.001 0.142 Fe
0.725 0.502 0.223 Fe
0.498 0.499 0.500 Fe
0.731 0.731 0.000 Fe
0.498 0.998 0.999 Fe
0.141 0.641 0.500 Fe
0.000 0.499 0.001 Fe
0.859 0.001 0.858 Fe
0.279 0.502 0.777 Fe
0.868 0.368 0.500 Mo
0.494 0.994 0.500 Sm

(21)
SmFe4Mo | Alexandria | PBE | optimized geometry; calculated density = 8.9 Mg/m³; energy of formation from the pure elements = 0.21 eV per atom; final energy = -8.023 eV per atom; symmetry = F-43m
1.0
-2.671 4.199 -0.075
-3.553 0.628 -3.429
-4.793 -0.075 1.340
Mo Fe Sm
1 4 1
Direct
0.250 0.250 0.250 Mo
0.129 0.624 0.624 Fe
0.624 0.624 0.624 Fe
0.624 0.129 0.624 Fe
0.624 0.624 0.129 Fe
0.000 0.000 0.000 Sm

(22)
Fe2SnMo2 | Alexandria | PBE | optimized geometry; calculated density = 9.5 Mg/m³; energy of formation from the pure elements = 0.23 eV per atom; final energy = -8.284 eV per atom; symmetry = P4/mbm
1.0
7.189 0.000 0.000
0.000 7.189 0.000
0.000 0.000 2.860
Fe Mo Sn
4 4 2
Direct
0.874 0.626 0.000 Fe
0.374 0.874 0.000 Fe
0.126 0.374 0.000 Fe
0.626 0.126 0.000 Fe
0.339 0.161 0.500 Mo
0.839 0.339 0.500 Mo
0.661 0.839 0.500 Mo
0.161 0.661 0.500 Mo
0.500 0.500 0.000 Sn
0.000 0.000 0.000 Sn

(23)
TaFeSn2Mo | Alexandria | PBE | optimized geometry; calculated density = 9.1 Mg/m³; energy of formation from the pure elements = 0.96 eV per atom; final energy = -6.875 eV per atom; symmetry = P4/mmm
1.0
-3.026 -1.826 3.190
3.550 -1.580 2.462
0.119 4.081 2.449
Fe Mo Sn Ta
1 1 2 1
Direct
0.000 0.000 0.000 Fe
0.500 0.500 0.500 Mo
0.500 0.000 0.000 Sn
0.000 0.000 0.500 Sn
0.000 0.500 0.000 Ta

(24)
FeTcSnMo | Alexandria | PBE | optimized geometry; calculated density = 10.0 Mg/m³; energy of formation from the pure elements = 0.18 eV per atom; final energy = -8.237 eV per atom; symmetry = F-43m
1.0
-4.210 -0.661 1.161
-1.358 -4.034 1.180
-1.023 -0.841 4.214
Mo Sn Tc Fe
1 1 1 1
Direct
0.750 0.750 0.750 Mo
0.250 0.250 0.250 Sn
0.000 0.000 0.000 Tc
0.500 0.500 0.500 Fe

(25)
SrFe3Mo | Alexandria | PBE | optimized geometry; calculated density = 5.7 Mg/m³; energy of formation from the pure elements = 0.99 eV per atom; final energy = -6.594 eV per atom; polymorph energy (0 for the lowest one) = 0.00 eV per formula unit; symmetry = Pm-3m
1.0
-2.606 -1.619 -3.533
3.608 -2.588 -1.476
-1.443 -3.546 2.690
Mo Fe Sr
1 3 1
Direct
0.000 0.000 0.000 Mo
0.000 0.500 0.000 Fe
0.000 0.000 0.500 Fe
0.500 0.000 0.000 Fe
0.500 0.500 0.500 Sr

(26)
SrFe4Mo | Alexandria | PBE | optimized geometry; calculated density = 7.5 Mg/m³; energy of formation from the pure elements = 0.55 eV per atom; final energy = -7.180 eV per atom; symmetry = F-43m
1.0
0.265 -4.836 -1.364
-2.729 -1.672 -3.883
2.270 -1.279 -4.305
Mo Fe Sr
1 4 1
Direct
0.750 0.750 0.750 Mo
0.376 0.376 0.871 Fe
0.376 0.871 0.376 Fe
0.871 0.376 0.376 Fe
0.376 0.376 0.376 Fe
0.000 0.000 0.000 Sr